[1]
Tm6HgS4, relaxed, DFT PBE-GGA; formation energy from raw total energies = -1.532 eV/atom; raw total energy = -5.50 eV/atom; space-group type = Cmcm (63)
1.0
3.873 0.000 0.000
-1.937 6.396 0.000
0.000 0.000 19.735
S Tm Hg
8 12 2
Direct
0.593 0.187 0.879 S
0.593 0.187 0.621 S
0.407 0.813 0.121 S
0.863 0.725 0.961 S
0.407 0.813 0.379 S
0.137 0.275 0.461 S
0.863 0.725 0.539 S
0.137 0.275 0.039 S
0.959 0.918 0.840 Tm
0.229 0.459 0.915 Tm
0.341 0.681 0.250 Tm
0.771 0.541 0.085 Tm
0.500 0.000 0.500 Tm
0.229 0.459 0.585 Tm
0.041 0.082 0.340 Tm
0.500 0.000 0.000 Tm
0.659 0.319 0.750 Tm
0.959 0.918 0.660 Tm
0.041 0.082 0.160 Tm
0.771 0.541 0.415 Tm
0.339 0.677 0.750 Hg
0.661 0.323 0.250 Hg

***

[2]
PrPuSn2, relaxed, DFT PBE-GGA; raw total energy = -7.08 eV/atom; space-group type = R-3m (166)
1.0
3.600 0.000 0.000
1.800 3.118 0.000
1.800 1.039 10.421
Pr Sn Pu
1 2 1
Direct
0.500 0.500 0.500 Pr
0.749 0.749 0.754 Sn
0.251 0.251 0.246 Sn
0.000 0.000 0.000 Pu

***

[3]
Ac8Si2Ir, relaxed, DFT PBE-GGA; formation energy from raw total energies = -0.314 eV/atom; raw total energy = -5.09 eV/atom; space-group type = C2/m (12)
1.0
-1.722 3.148 -2.535
4.403 -3.764 -7.665
-7.518 -6.716 0.575
Si Ac Ir
2 8 1
Direct
0.179 0.759 0.358 Si
0.821 0.241 0.642 Si
0.781 0.659 0.563 Ac
0.656 0.996 0.313 Ac
0.219 0.341 0.437 Ac
0.994 0.794 0.989 Ac
0.600 0.551 0.199 Ac
0.006 0.206 0.011 Ac
0.344 0.004 0.687 Ac
0.400 0.449 0.801 Ac
0.500 0.000 0.000 Ir

***

[4]
Tl2BiAu2, relaxed, DFT PBE-GGA; raw total energy = -2.88 eV/atom; space-group type = P4/mbm (127); excess energy over the best structure of this formula in the dataset = 0.94 eV/f.u.
1.0
8.572 0.000 0.000
0.000 8.572 0.000
0.000 0.000 3.504
Au Tl Bi
4 4 2
Direct
0.877 0.377 0.500 Au
0.377 0.123 0.500 Au
0.123 0.623 0.500 Au
0.623 0.877 0.500 Au
0.670 0.170 0.000 Tl
0.170 0.330 0.000 Tl
0.830 0.670 0.000 Tl
0.330 0.830 0.000 Tl
0.000 0.000 0.000 Bi
0.500 0.500 0.000 Bi

***

[5]
Tb2Ge2PdRh5, relaxed, DFT PBE-GGA; raw total energy = -6.72 eV/atom; space-group type = P4/mbm (127)
1.0
3.639 0.000 0.000
0.000 9.685 0.000
0.000 0.000 9.685
Rh Pd Tb Ge
10 2 4 4
Direct
0.500 0.500 0.000 Rh
0.500 0.291 0.567 Rh
0.500 0.067 0.791 Rh
0.500 0.709 0.433 Rh
0.500 0.567 0.709 Rh
0.500 0.791 0.933 Rh
0.500 0.000 0.500 Rh
0.500 0.433 0.291 Rh
0.500 0.933 0.209 Rh
0.500 0.209 0.067 Rh
0.000 0.000 0.000 Pd
0.000 0.500 0.500 Pd
0.000 0.175 0.325 Tb
0.000 0.825 0.675 Tb
0.000 0.675 0.175 Tb
0.000 0.325 0.825 Tb
0.000 0.625 0.875 Ge
0.000 0.875 0.375 Ge
0.000 0.125 0.625 Ge
0.000 0.375 0.125 Ge

***

[6]
La2HgBOs, relaxed, DFT PBE-GGA; raw total energy = -5.84 eV/atom; space-group type = P4/mmm (123)
1.0
5.459 0.000 0.000
0.000 5.459 0.000
0.000 0.000 4.050
Os La Hg B
1 2 1 1
Direct
0.000 0.000 0.500 Os
0.000 0.500 0.000 La
0.500 0.000 0.000 La
0.500 0.500 0.500 Hg
0.000 0.000 0.000 B

***

What is the raw total energy in the fourth record?
-2.88 eV/atom